Below is crystalline CoAgPO4 at its relaxed geometry, with properties calculated at the GGA+U level.

Output
VASP energy, eV/f.u.: -43.8
Calculated volume, Å³/atom: 14.8
Symmetry: I-4

Cell and atoms, written as CIF:
```
data_CoAgPO4
_chemical_formula_sum 'Co1 Ag1 P1 O4'
_space_group_name_H-M_alt 'P 1'
_space_group_IT_number 1
_cell_length_a 5.277
_cell_length_b 5.277
_cell_length_c 5.263
_cell_angle_alpha 120.09
_cell_angle_beta 120.09
_cell_angle_gamma 90.00
loop_
_space_group_symop_operation_xyz
'x,y,z'
loop_
_atom_site_label
_atom_site_fract_x
_atom_site_fract_y
_atom_site_fract_z
Ag1 0.000 0.000 0.000
O1 0.232 0.071 0.735
O2 0.337 0.768 0.265
O3 0.503 0.663 0.735
O4 0.929 0.497 0.265
P1 0.250 0.750 0.500
Co1 0.500 0.500 0.000
```